[1]
NaGa2OsO6, optimized geometry, DFT GGA-PBE; formation energy from raw total energies = -1320 meV/atom
1.0
4.7832 -5.1571 0.0000
4.7832 5.1571 0.0000
-2.4914 0.0000 5.6360
Na Ga Os O
2 4 2 12
Cartesian
2.9147 4.0258 4.2270
4.1604 -4.0258 1.4090
1.4810 0.7885 4.6718
2.7267 -0.7885 1.8538
4.3484 0.7885 3.7823
5.5941 -0.7885 0.9643
4.1604 3.2664 1.4090
2.9147 -3.2664 4.2270
-0.2958 0.9971 3.7892
1.3611 2.6061 5.3434
0.9499 -0.9971 0.9712
2.3863 0.6280 3.0279
4.4683 2.6061 3.1107
3.6320 -0.6280 0.2098
3.4431 0.6280 5.4262
2.6068 -2.6061 2.5254
4.6888 -0.6280 2.6082
6.1251 0.9971 4.6648
5.7140 -2.6061 0.2926
7.3708 -0.9971 1.8468

---

[2]
TiSn3N, optimized geometry, DFT GGA-PBE; formation energy from raw total energies = 527 meV/atom
1.0
4.6580 0.0000 0.0000
0.0000 4.6580 0.0000
0.0000 0.0000 4.6580
Ti Sn N
1 3 1
Cartesian
0.0000 0.0000 0.0000
0.0000 2.3290 2.3290
2.3290 0.0000 2.3290
2.3290 2.3290 0.0000
2.3290 2.3290 2.3290

---

[3]
BeF2, optimized geometry, DFT GGA-PBE; formation energy from raw total energies = -2830 meV/atom
1.0
2.7359 -2.8509 0.0000
2.7359 2.8509 0.0000
0.0000 0.0000 2.4037
Be F
1 2
Cartesian
0.0000 0.0000 0.0000
1.0934 0.0000 1.2018
4.3784 0.0000 1.2018

---

[4]
AcPmCu, optimized geometry, DFT GGA-PBE; energy relative to the elements = 0.072 eV/atom
1.0
4.7806 0.0000 0.0000
-2.3903 4.1401 0.0000
0.0000 0.0000 4.7163
Ac Pm Cu
1 1 1
Cartesian
0.0000 0.0000 0.0000
0.0000 2.7601 2.3570
2.3903 1.3800 2.3641

---

[5]
PmNd3Ge3, optimized geometry, DFT GGA-PBE; energy relative to the elements = -0.522 eV/atom
1.0
4.1953 -6.4302 0.0000
4.1953 6.4302 0.0000
-0.2046 0.0000 7.7411
Pm Nd Ge
2 6 6
Cartesian
1.9864 0.0000 3.1579
6.1995 0.0000 4.5832
0.9068 0.0000 6.7286
4.0929 2.9023 3.8705
4.1953 2.1163 0.0000
4.1953 -2.1163 0.0000
4.0929 -2.9023 3.8705
7.2791 0.0000 1.0125
2.6078 4.2140 6.2085
5.5781 4.2140 1.5326
3.5322 0.0000 5.6106
4.6537 0.0000 2.1304
2.6078 -4.2140 6.2085
5.5781 -4.2140 1.5326

---

For each record above, in turn, the calculated calculated volume values are 13.9 20.2 12.5 31.1 29.8 Å³/atom.